# 1
# LiHo2Pb | Alexandria via LeMat-Bulk | PBE-GGA | optimized geometry
data_LiHo2Pb
_cell_length_a 3.813
_cell_length_b 3.813
_cell_length_c 7.252
_cell_angle_alpha 90.00
_cell_angle_beta 90.00
_cell_angle_gamma 90.00
_space_group_name_H-M_alt 'P 1'
_space_group_IT_number 1
loop_
_space_group_symop_operation_xyz
'x,y,z'
loop_
_atom_site_label
_atom_site_type_symbol
_atom_site_fract_x
_atom_site_fract_y
_atom_site_fract_z
Ho1 Ho 0.000 0.000 0.239
Li1 Li 0.500 0.500 0.000
Pb1 Pb 0.500 0.500 0.500
Ho2 Ho 0.000 0.000 0.761
# - VASP energy (eV per atom) = -3.8697
# - formation energy from the elements (meV per atom) = -175
# - volume (Å³ per atom) = 26.4
# - space-group type = P4/mmm, No. 123
# - total magnetization (μB per formula unit) = 0.0



# 2
# NaNiH3 | Alexandria via LeMat-Bulk | PBE-GGA | optimized geometry
data_NaNiH3
_cell_length_a 3.478
_cell_length_b 5.001
_cell_length_c 5.398
_cell_angle_alpha 90.00
_cell_angle_beta 108.79
_cell_angle_gamma 90.00
_space_group_name_H-M_alt 'P 1'
_space_group_IT_number 1
loop_
_space_group_symop_operation_xyz
'x,y,z'
loop_
_atom_site_label
_atom_site_type_symbol
_atom_site_fract_x
_atom_site_fract_y
_atom_site_fract_z
H1 H 0.397 0.974 0.793
Ni1 Ni 0.526 0.750 0.051
Ni2 Ni 0.474 0.250 0.949
Na1 Na 0.190 0.250 0.380
H2 H 0.603 0.474 0.207
H3 H 0.956 0.250 0.912
Na2 Na 0.810 0.750 0.620
H4 H 0.044 0.750 0.088
H5 H 0.397 0.526 0.793
H6 H 0.603 0.026 0.207
# - VASP energy (eV per atom) = -3.5178
# - volume (Å³ per atom) = 8.9
# - space-group type = Cmcm, No. 63
# - total magnetization (μB per formula unit) = 0.0